The following is a DFT calculation (GGA+U) of crystalline CoAgC4O4 at its relaxed geometry.

Lattice parameters (Å, degrees): 6.130 10.398 10.398 112.47 93.55 93.55
Element x y z (fractional)
C  0.395  0.869  0.335
O  0.329  0.977  0.357
C  0.207  0.936  0.773
O  0.671  0.643  0.023
C  0.605  0.665  0.131
O  0.246  0.154  0.154
C  0.932  0.337  0.337
Ag  0.592  0.471  0.302
C  0.430  0.191  0.191
Co  0.500  0.706  0.294
O  0.153  0.041  0.772
C  0.207  0.773  0.936
O  0.754  0.846  0.846
Co  0.719  0.222  0.222
O  0.671  0.023  0.643
C  0.251  0.247  0.598
Ag  0.408  0.529  0.698
C  0.749  0.753  0.402
Ag  0.408  0.698  0.529
O  0.847  0.959  0.228
C  0.605  0.131  0.665
C  0.793  0.064  0.227
O  0.922  0.796  0.462
O  0.329  0.357  0.977
O  0.078  0.538  0.204
O  0.078  0.204  0.538
C  0.251  0.598  0.247
Co  0.281  0.778  0.778
O  0.902  0.602  0.602
Co  0.500  0.294  0.706
O  0.153  0.772  0.041
O  0.098  0.398  0.398
C  0.570  0.809  0.809
C  0.068  0.663  0.663
O  0.847  0.228  0.959
O  0.922  0.462  0.796
C  0.395  0.335  0.869
C  0.749  0.402  0.753
C  0.793  0.227  0.064
Ag  0.592  0.302  0.471

## Properties
final energy: -6.93 eV per atom